The following is a PBE-GGA calculation of a relaxed structure of TbHoCu2Ge2, from OQMD via LeMat-Bulk.

```
TbHoCu2Ge2
1.0
4.234 0.000 0.000
-2.117 3.667 0.000
0.000 0.000 7.377
Ge Cu Tb Ho
2 2 1 1
Direct
0.667 0.333 0.013
0.333 0.667 0.513
0.667 0.333 0.478
0.333 0.667 0.979
0.000 0.000 0.748
0.000 0.000 0.248
```

Computed properties:
* magnetic moment: 0.00 μB/f.u.
* crystal system: trigonal
* electronic total energy: -30.0 eV for the cell shown